{"formula": "KTl2Cu", "functional": "PBEsol", "state": "relaxed", "lattice_angstrom": [[4.3364, 0.0000, 0.0000], [0.0000, 5.4369, 0.0000], [0.0000, 0.0000, 9.1569]], "species": ["K", "K", "Tl", "Tl", "Tl", "Tl", "Cu", "Cu"], "fractional_positions": [[0.0000, 0.0000, 0.0000], [0.5000, 0.5000, 0.5000], [0.0000, 0.0000, 0.5557], [0.0000, 0.5000, 0.7902], [0.5000, 0.0000, 0.2902], [0.5000, 0.5000, 0.0557], [0.0000, 0.5000, 0.2211], [0.5000, 0.0000, 0.7211]], "e_tot_ev_per_atom": -2.434, "formation_enthalpy_0k_ev_per_atom": 0.2482, "magmom_total_mub_per_atom": 0.00}


{"formula": "K2TlCu", "functional": "PBEsol", "state": "relaxed", "lattice_angstrom": [[8.0757, 0.0000, 0.0000], [0.0000, 8.0757, 0.0000], [0.0000, 0.0000, 8.0757]], "species": ["K", "K", "K", "K", "K", "K", "K", "K", "Tl", "Tl", "Tl", "Tl", "Cu", "Cu", "Cu", "Cu"], "fractional_positions": [[0.2500, 0.2500, 0.2500], [0.2500, 0.2500, 0.7500], [0.2500, 0.7500, 0.2500], [0.2500, 0.7500, 0.7500], [0.7500, 0.2500, 0.2500], [0.7500, 0.2500, 0.7500], [0.7500, 0.7500, 0.2500], [0.7500, 0.7500, 0.7500], [0.0000, 0.0000, 0.0000], [0.0000, 0.5000, 0.5000], [0.5000, 0.0000, 0.5000], [0.5000, 0.5000, 0.0000], [0.0000, 0.0000, 0.5000], [0.0000, 0.5000, 0.0000], [0.5000, 0.0000, 0.0000], [0.5000, 0.5000, 0.5000]], "e_tot_ev_per_atom": -1.888, "formation_enthalpy_0k_ev_per_atom": 0.4200, "magmom_total_mub_per_atom": 0.00, "relative_energy_mev_per_atom": 246}


{"formula": "KTlCu2", "functional": "PBEsol", "state": "relaxed", "lattice_angstrom": [[3.2739, 0.0000, 0.0000], [0.0000, 3.2739, 0.0000], [0.0000, 0.0000, 7.9186]], "species": ["K", "Tl", "Cu", "Cu"], "fractional_positions": [[0.0000, 0.0000, 0.0000], [0.5000, 0.5000, 0.3498], [0.0000, 0.0000, 0.5898], [0.5000, 0.5000, 0.6876]], "e_tot_ev_per_atom": -2.866, "formation_enthalpy_0k_ev_per_atom": 0.2420, "magmom_total_mub_per_atom": 0.00, "relative_energy_mev_per_atom": 0}


{"formula": "K3TlCu", "functional": "PBEsol", "state": "relaxed", "lattice_angstrom": [[6.0952, 0.0000, 0.0000], [0.0000, 6.0952, 0.0000], [0.0000, 0.0000, 6.0952]], "species": ["K", "K", "K", "Tl", "Cu"], "fractional_positions": [[0.0000, 0.0000, 0.5000], [0.0000, 0.5000, 0.0000], [0.5000, 0.0000, 0.0000], [0.5000, 0.5000, 0.5000], [0.0000, 0.0000, 0.0000]], "e_tot_ev_per_atom": -1.692, "formation_enthalpy_0k_ev_per_atom": 0.3806, "magmom_total_mub_per_atom": 0.00}


{"formula": "KTlCu2", "functional": "PBEsol", "state": "relaxed", "lattice_angstrom": [[4.7296, 0.0000, 0.0000], [0.0000, 5.5482, 0.0000], [0.0000, 0.0000, 6.9015]], "species": ["K", "K", "Tl", "Tl", "Cu", "Cu", "Cu", "Cu"], "fractional_positions": [[0.0000, 0.0000, 0.0000], [0.5000, 0.5000, 0.5000], [0.0000, 0.0000, 0.5000], [0.5000, 0.5000, 0.0000], [0.0000, 0.5000, 0.1804], [0.0000, 0.5000, 0.8196], [0.5000, 0.0000, 0.3196], [0.5000, 0.0000, 0.6804]], "e_tot_ev_per_atom": -2.625, "formation_enthalpy_0k_ev_per_atom": 0.4829, "magmom_total_mub_per_atom": 0.00, "relative_energy_mev_per_atom": 241}


{"formula": "KTl2Cu", "functional": "PBEsol", "state": "relaxed", "lattice_angstrom": [[3.4979, 0.0000, 0.0000], [0.0000, 5.7822, 0.0000], [0.0000, 0.0000, 10.4924]], "species": ["K", "K", "Tl", "Tl", "Tl", "Tl", "Cu", "Cu"], "fractional_positions": [[0.0000, 0.0000, 0.0000], [0.5000, 0.5000, 0.5000], [0.0000, 0.5000, 0.1986], [0.0000, 0.5000, 0.8014], [0.5000, 0.0000, 0.3014], [0.5000, 0.0000, 0.6986], [0.0000, 0.0000, 0.5000], [0.5000, 0.5000, 0.0000]], "e_tot_ev_per_atom": -2.547, "formation_enthalpy_0k_ev_per_atom": 0.1354, "magmom_total_mub_per_atom": 0.00}


{"formula": "K2TlCu", "functional": "PBEsol", "state": "relaxed", "lattice_angstrom": [[4.5916, 0.0000, 0.0000], [0.0000, 5.1264, 0.0000], [0.0000, 0.0000, 12.1822]], "species": ["K", "K", "K", "K", "Tl", "Tl", "Cu", "Cu"], "fractional_positions": [[0.0000, 0.0000, 0.0000], [0.0000, 0.5000, 0.5000], [0.5000, 0.0000, 0.3005], [0.5000, 0.5000, 0.8005], [0.0000, 0.0000, 0.6990], [0.0000, 0.5000, 0.1990], [0.5000, 0.0000, 0.6016], [0.5000, 0.5000, 0.1016]], "e_tot_ev_per_atom": -2.134, "formation_enthalpy_0k_ev_per_atom": 0.1741, "magmom_total_mub_per_atom": 0.00, "relative_energy_mev_per_atom": 0}


{"formula": "KCuW", "functional": "PBEsol", "state": "relaxed", "lattice_angstrom": [[2.5850, 0.0000, 0.0000], [0.0000, 3.9719, 0.0000], [0.0000, 0.0000, 12.6071]], "species": ["K", "K", "Cu", "Cu", "W", "W"], "fractional_positions": [[0.0000, 0.0000, 0.0000], [0.5000, 0.5000, 0.5000], [0.0000, 0.0000, 0.7029], [0.5000, 0.5000, 0.2029], [0.0000, 0.0000, 0.2750], [0.5000, 0.5000, 0.7750]], "e_tot_ev_per_atom": -5.344, "formation_enthalpy_0k_ev_per_atom": 1.0814, "magmom_total_mub_per_atom": 0.00}


{"formula": "KYZrCu2", "functional": "PBEsol", "state": "relaxed", "lattice_angstrom": [[4.7276, 0.0000, 0.0000], [0.0000, 4.7276, 0.0000], [0.0000, 0.0000, 4.9727]], "species": ["K", "Y", "Zr", "Cu", "Cu"], "fractional_positions": [[0.0000, 0.0000, 0.0000], [0.0000, 0.0000, 0.5000], [0.5000, 0.5000, 0.5000], [0.0000, 0.5000, 0.0000], [0.5000, 0.0000, 0.0000]], "e_tot_ev_per_atom": -3.667, "formation_enthalpy_0k_ev_per_atom": 1.4755, "magmom_total_mub_per_atom": 0.28}


{"formula": "K2ZnCu", "functional": "PBEsol", "state": "relaxed", "lattice_angstrom": [[5.3434, 0.0000, 0.0000], [0.0000, 5.3434, 0.0000], [0.0000, 0.0000, 4.2728]], "species": ["K", "K", "Zn", "Cu"], "fractional_positions": [[0.0000, 0.5000, 0.0000], [0.5000, 0.0000, 0.0000], [0.0000, 0.0000, 0.5000], [0.5000, 0.5000, 0.5000]], "e_tot_ev_per_atom": -1.582, "formation_enthalpy_0k_ev_per_atom": 0.4636, "magmom_total_mub_per_atom": 0.00}


{"formula": "K3ZrCu", "functional": "PBEsol", "state": "relaxed", "lattice_angstrom": [[6.0662, 0.0000, 0.0000], [0.0000, 6.0662, 0.0000], [0.0000, 0.0000, 6.0662]], "species": ["K", "K", "K", "Zr", "Cu"], "fractional_positions": [[0.0000, 0.0000, 0.5000], [0.0000, 0.5000, 0.0000], [0.5000, 0.0000, 0.0000], [0.5000, 0.5000, 0.5000], [0.0000, 0.0000, 0.0000]], "e_tot_ev_per_atom": -2.176, "formation_enthalpy_0k_ev_per_atom": 1.1889, "magmom_total_mub_per_atom": 0.80}


{"formula": "KZrCu2", "functional": "PBEsol", "state": "relaxed", "lattice_angstrom": [[3.4470, 0.0000, 0.0000], [-1.7235, 2.9852, 0.0000], [0.0000, 0.0000, 25.9591]], "species": ["K", "K", "K", "Zr", "Zr", "Zr", "Cu", "Cu", "Cu", "Cu", "Cu", "Cu"], "fractional_positions": [[0.0000, 0.0000, 0.0000], [0.3333, 0.6667, 0.6667], [0.6667, 0.3333, 0.3333], [0.0000, 0.0000, 0.5000], [0.3333, 0.6667, 0.1667], [0.6667, 0.3333, 0.8333], [0.0000, 0.0000, 0.2336], [0.0000, 0.0000, 0.7664], [0.3333, 0.6667, 0.4330], [0.3333, 0.6667, 0.9003], [0.6667, 0.3333, 0.0997], [0.6667, 0.3333, 0.5670]], "e_tot_ev_per_atom": -4.210, "formation_enthalpy_0k_ev_per_atom": 0.5125, "magmom_total_mub_per_atom": 0.00}


{"formula": "LaCu", "functional": "PBEsol", "state": "relaxed", "lattice_angstrom": [[9.8185, 0.0000, 0.0000], [0.0000, 8.5753, 0.0000], [0.0000, 0.0000, 6.7117]], "species": ["La", "La", "La", "La", "La", "La", "La", "La", "La", "La", "La", "La", "Cu", "Cu", "Cu", "Cu", "Cu", "Cu", "Cu", "Cu", "Cu", "Cu", "Cu", "Cu"], "fractional_positions": [[0.1034, 0.2500, 0.0000], [0.1034, 0.2500, 0.5000], [0.2169, 0.6394, 0.2500], [0.2169, 0.8606, 0.7500], [0.3792, 0.0146, 0.2500], [0.3792, 0.4854, 0.7500], [0.6208, 0.5146, 0.2500], [0.6208, 0.9854, 0.7500], [0.7831, 0.1394, 0.2500], [0.7831, 0.3606, 0.7500], [0.8966, 0.7500, 0.0000], [0.8966, 0.7500, 0.5000], [0.0752, 0.5429, 0.7500], [0.0752, 0.9571, 0.2500], [0.3575, 0.1509, 0.7500], [0.3575, 0.3491, 0.2500], [0.4758, 0.7500, 0.0000], [0.4758, 0.7500, 0.5000], [0.5242, 0.2500, 0.0000], [0.5242, 0.2500, 0.5000], [0.6425, 0.6509, 0.7500], [0.6425, 0.8491, 0.2500], [0.9248, 0.0429, 0.7500], [0.9248, 0.4571, 0.2500]], "e_tot_ev_per_atom": -4.879, "formation_enthalpy_0k_ev_per_atom": -0.0389, "magmom_total_mub_per_atom": 0.00}


{"formula": "LaCu", "functional": "PBEsol", "state": "relaxed", "lattice_angstrom": [[7.4081, 0.0000, 0.0000], [0.0000, 4.5010, 0.0000], [0.0000, 0.0000, 5.5998]], "species": ["La", "La", "La", "La", "Cu", "Cu", "Cu", "Cu"], "fractional_positions": [[0.1762, 0.2500, 0.1037], [0.3238, 0.7500, 0.6037], [0.6762, 0.2500, 0.3963], [0.8238, 0.7500, 0.8963], [0.0349, 0.2500, 0.6038], [0.4651, 0.7500, 0.1038], [0.5349, 0.2500, 0.8962], [0.9651, 0.7500, 0.3962]], "e_tot_ev_per_atom": -4.975, "formation_enthalpy_0k_ev_per_atom": -0.1350, "magmom_total_mub_per_atom": 0.00}